{
  "formula": "Ta2CdCo",
  "functional": "SCAN",
  "state": "single point on PBEsol structure",
  "cell": [[1.430, 0.826, 9.195], [-1.430, 0.826, 9.195], [0.000, -1.651, 9.195]],
  "species": ["Ta", "Ta", "Cd", "Co"],
  "frac_coords": [[0.240, 0.240, 0.240], [0.760, 0.760, 0.760], [0.000, 0.000, 0.000], [0.500, 0.500, 0.500]],
  "crystal_system": "trigonal",
  "total_magnetization_mub_per_cell": 0.872,
  "dos_at_fermi_per_ev_fu": 3.02,
  "formation_energy_ev_per_atom": 0.315
}